Entry 1:
Here is a relaxed structure of AcAl2CdAu5 from Alexandria via LeMat-Bulk. Energies are from PBE.

The total moment comes out at 0.000 Bohr magnetons per cell.

The structure belongs to space group P4/mmm (No. 123); the cell edges are 5.0572, 5.0572 and 7.7640 Å and the angles 90.00°, 90.00° and 90.00°. The distinct sites, in fractional coordinates, are Ac at (0.0000, 0.0000, 0.0000), Al at (0.5000, 0.5000, 0.3327), Cd at (0.0000, 0.0000, 0.5000), Au at (0.0000, 0.5000, 0.2709) and Au at (0.5000, 0.5000, 0.0000).

---

Entry 2:
Here is a relaxed structure of AcAlCdAu from Alexandria via LeMat-Bulk. Energies are from PBE.

The total moment comes out at 0.000 Bohr magnetons per cell.

The structure belongs to space group F-43m (No. 216); the cell edges are 7.3817, 7.3817 and 7.3817 Å and the angles 90.00°, 90.00° and 90.00°. The distinct sites, in fractional coordinates, are Ac at (0.0000, 0.0000, 0.0000), Al at (0.0000, 0.0000, 0.5000), Cd at (0.2500, 0.2500, 0.7500) and Au at (0.2500, 0.2500, 0.2500).

---

Entry 3:
Here is a relaxed structure of Ac2Al3CdAu4 from Alexandria via LeMat-Bulk. Energies are from PBE.

The total moment comes out at 0.000 Bohr magnetons per cell.

The structure belongs to space group P-4m2 (No. 115); the cell edges are 4.6134, 4.6134 and 10.7809 Å and the angles 90.00°, 90.00° and 90.00°. The distinct sites, in fractional coordinates, are Ac at (0.0000, 0.5000, 0.2445), Al at (0.0000, 0.5000, 0.8798), Al at (0.5000, 0.5000, 0.5000), Cd at (0.0000, 0.0000, 0.5000), Au at (0.0000, 0.0000, 0.0000), Au at (0.0000, 0.5000, 0.6436) and Au at (0.5000, 0.5000, 0.0000).

---

Entry 4:
Here is a relaxed structure of Ac2Al4Cd3Au from Alexandria via LeMat-Bulk. Energies are from PBE.

The total moment comes out at 0.000 Bohr magnetons per cell.

The structure belongs to space group P-4m2 (No. 115); the cell edges are 4.6171, 4.6171 and 11.2378 Å and the angles 90.00°, 90.00° and 90.00°. The distinct sites, in fractional coordinates, are Ac at (0.0000, 0.5000, 0.2453), Al at (0.0000, 0.0000, 0.5000), Al at (0.0000, 0.5000, 0.8769), Al at (0.5000, 0.5000, 0.5000), Cd at (0.0000, 0.0000, 0.0000), Cd at (0.0000, 0.5000, 0.6371) and Au at (0.5000, 0.5000, 0.0000).

---

Entry 5:
Here is a relaxed structure of Ac2AlCd2Au4 from Alexandria via LeMat-Bulk. Energies are from PBE.

The total moment comes out at 0.000 Bohr magnetons per cell.

The structure belongs to space group I4/mmm (No. 139); the cell edges are 7.1066, 7.1066 and 8.8527 Å and the angles 90.00°, 90.00° and 90.00°. The distinct sites, in fractional coordinates, are Ac at (0.0000, 0.5000, 0.2500), Al at (0.0000, 0.0000, 0.0000), Cd at (0.0000, 0.0000, 0.3214) and Au at (0.2453, 0.2453, 0.5000).

---

Entry 6:
Here is a relaxed structure of AcAlCu2Au4 from Alexandria via LeMat-Bulk. Energies are from PBE.

The total moment comes out at 0.000 Bohr magnetons per cell.

The structure belongs to space group R-3m (No. 166, hexagonal axes); the cell edges are 4.4668, 4.4668 and 27.4197 Å and the angles 90.00°, 90.00° and 120.00°. The distinct sites, in fractional coordinates, are Ac at (0.0000, 0.0000, 0.0000), Al at (0.0000, 0.0000, 0.5000), Cu at (0.0000, 0.0000, 0.2351), Au at (0.0000, 0.0000, 0.1334) and Au at (0.0000, 0.0000, 0.4036).

---

Entry 7:
Here is a relaxed structure of AcAl2CuAu4 from Alexandria via LeMat-Bulk. Energies are from PBE.

The total moment comes out at 0.000 Bohr magnetons per cell.

The structure belongs to space group R-3m (No. 166, hexagonal axes); the cell edges are 4.4495, 4.4495 and 28.1600 Å and the angles 90.00°, 90.00° and 120.00°. The distinct sites, in fractional coordinates, are Ac at (0.0000, 0.0000, 0.0000), Al at (0.0000, 0.0000, 0.2328), Cu at (0.0000, 0.0000, 0.5000), Au at (0.0000, 0.0000, 0.1343) and Au at (0.0000, 0.0000, 0.4038).

---

Entry 8:
Here is a relaxed structure of AcAlCuAu6 from Alexandria via LeMat-Bulk. Energies are from PBE.

The total moment comes out at 0.000 Bohr magnetons per cell.

The structure belongs to space group Imma (No. 74); the cell edges are 8.2506, 8.6487 and 11.9809 Å and the angles 90.00°, 90.00° and 90.00°. The distinct sites, in fractional coordinates, are Ac at (0.0000, 0.2500, 0.1248), Al at (0.0000, 0.0000, 0.5000), Cu at (0.2500, 0.2500, 0.7500), Au at (0.0000, 0.2500, 0.3903), Au at (0.0000, 0.2500, 0.8703) and Au at (0.2421, 0.0133, 0.6270).

---

Entry 9:
Here is a relaxed structure of AcAl3CuAu from Alexandria via LeMat-Bulk. Energies are from PBE.

The total moment comes out at 0.000 Bohr magnetons per cell.

The structure belongs to space group Cmcm (No. 63); the cell edges are 6.4756, 12.4383 and 6.2889 Å and the angles 90.00°, 90.00° and 90.00°. The distinct sites, in fractional coordinates, are Ac at (0.0000, 0.2283, 0.2500), Al at (0.0000, 0.3496, 0.7500), Al at (0.2148, 0.0000, 0.0000), Cu at (0.0000, 0.4594, 0.2500) and Au at (0.0000, 0.1388, 0.7500).

---

Entry 10:
Here is a relaxed structure of AcAl2CuAu5 from Alexandria via LeMat-Bulk. Energies are from PBE.

The total moment comes out at 0.000 Bohr magnetons per cell.

The structure belongs to space group P4/mmm (No. 123); the cell edges are 5.0617, 5.0617 and 7.4982 Å and the angles 90.00°, 90.00° and 90.00°. The distinct sites, in fractional coordinates, are Ac at (0.0000, 0.0000, 0.0000), Al at (0.5000, 0.5000, 0.3310), Cu at (0.0000, 0.0000, 0.5000), Au at (0.0000, 0.5000, 0.3018) and Au at (0.5000, 0.5000, 0.0000).

---

Entry 11:
Here is a relaxed structure of Ac2AlCuAu6 from Alexandria via LeMat-Bulk. Energies are from PBE.

The total moment comes out at 0.000 Bohr magnetons per cell.

The structure belongs to space group P-1 (No. 2); the cell edges are 6.0505, 6.9221 and 7.0268 Å and the angles 73.52°, 64.57° and 64.23°. The distinct sites, in fractional coordinates, are Ac at (0.2433, 0.2154, 0.2982), Al at (0.0000, 0.0000, 0.0000), Cu at (0.5000, 0.5000, 0.5000), Au at (0.2521, 0.6177, 0.8773), Au at (0.2537, 0.2449, 0.7583) and Au at (0.2564, 0.7546, 0.2424).

---

Entry 12:
Here is a relaxed structure of AcDyAl2Au5 from Alexandria via LeMat-Bulk. Energies are from PBE.

The total moment comes out at 0.000 Bohr magnetons per cell.

The structure belongs to space group P4/mmm (No. 123); the cell edges are 4.8904, 4.8904 and 8.3729 Å and the angles 90.00°, 90.00° and 90.00°. The distinct sites, in fractional coordinates, are Ac at (0.0000, 0.0000, 0.0000), Dy at (0.0000, 0.0000, 0.5000), Al at (0.5000, 0.5000, 0.3423), Au at (0.0000, 0.5000, 0.2598) and Au at (0.5000, 0.5000, 0.0000).

---

Formation enthalpy at 0 K for every record listed, in sequence, given in eV/atom: -0.39, -0.36, -0.67, -0.38, -0.55, -0.37, -0.49, -0.17, -0.28, -0.29, -0.54, -0.59.
Uncorrected energy for every record listed, in sequence, given in eV per atom: -3.602, -3.371, -4.012, -3.298, -3.542, -4.018, -4.095, -3.679, -4.065, -3.852, -4.110, -4.209.
Mass density for every record listed, in sequence, given in g/cm³: 11.53, 9.30, 10.39, 7.60, 11.10, 12.29, 11.68, 11.65, 7.45, 11.49, 12.06, 11.84.